DFT (PBE) results for a relaxed structure of YbGa6Fe6.

a = 6.560 Å, b = 6.560 Å, c = 6.560 Å
α = 135.00°, β = 99.29°, γ = 97.56°
Fractional positions:
Yb (0.000, 0.000, 0.000)
Ga (0.181, 0.681, 0.500)
Ga (0.330, 0.000, 0.330)
Ga (0.343, 0.343, 0.000)
Ga (0.657, 0.657, 0.000)
Ga (0.670, 0.000, 0.670)
Ga (0.819, 0.319, 0.500)
Fe (0.000, 0.000, 0.500)
Fe (0.000, 0.500, 0.000)
Fe (0.245, 0.500, 0.745)
Fe (0.500, 0.000, 0.000)
Fe (0.500, 0.500, 0.500)
Fe (0.755, 0.500, 0.255)

Summary:
N(E_F) = 15.93 states/eV per cell
Formation energy from the elements = -0.28 eV/atom
M_tot = 11.1 μB/f.u.
Calculated total energy = -5.7005 eV per atom
Distance to the lowest polymorph of the same formula = 0 meV per atom

---

DFT (PBE) results for a relaxed structure of SbTe2IN.

a = 5.970 Å, b = 5.970 Å, c = 3.993 Å
α = 90.00°, β = 90.00°, γ = 90.00°
Fractional positions:
Sb (0.000, 0.000, 0.000)
Te (0.000, 0.500, 0.500)
Te (0.500, 0.000, 0.500)
I (0.500, 0.500, 0.500)
N (0.500, 0.500, 0.000)

Summary:
N(E_F) = 3.32 states/eV per cell
M_tot = 0.0 μB/f.u.
Calculated total energy = -2.8733 eV per atom
Distance to the lowest polymorph of the same formula = 383 meV per atom
Energy relative to the elements, uncorrected = 1.1830 eV per atom

---

DFT (PBE) results for a relaxed structure of Ce4HI5.

a = 9.661 Å, b = 9.661 Å, c = 8.945 Å
α = 102.75°, β = 102.75°, γ = 24.27°
Fractional positions:
Ce (0.002, 0.002, 0.296)
Ce (0.363, 0.363, 0.431)
Ce (0.637, 0.637, 0.569)
Ce (0.998, 0.998, 0.704)
H (0.500, 0.500, 0.500)
I (0.167, 0.167, 0.850)
I (0.176, 0.176, 0.319)
I (0.500, 0.500, 0.000)
I (0.824, 0.824, 0.681)
I (0.833, 0.833, 0.150)

Summary:
N(E_F) = 25.51 states/eV per cell
M_tot = 5.7 μB/f.u.
Calculated total energy = -4.3981 eV per atom